# LaCd2Cu | the Alexandria database | PBE-GGA | relaxed
data_LaCd2Cu
_space_group_name_H-M_alt 'P 1 2/m 1'
_space_group_IT_number 10
_cell_length_a 4.271
_cell_length_b 4.757
_cell_length_c 5.083
_cell_angle_alpha 90.00
_cell_angle_beta 107.89
_cell_angle_gamma 90.00
loop_
_space_group_symop_operation_xyz
'x,y,z'
'-x,-y,-z'
'-x,y,-z'
'x,-y,z'
loop_
_atom_site_label
_atom_site_fract_x
_atom_site_fract_y
_atom_site_fract_z
La1 0.000 0.000 0.000
Cd1 0.337 0.500 0.701
Cu1 0.500 0.000 0.500
# Calculated formation energy ... -0.124 eV per atom



# LaMg2CdCu | the Alexandria database | PBE-GGA | relaxed
data_LaMg2CdCu
_space_group_name_H-M_alt 'P 4/m m m'
_space_group_IT_number 123
_space_group_name_Hall '-P 4 2'
_cell_length_a 4.940
_cell_length_b 4.940
_cell_length_c 5.021
_cell_angle_alpha 90.00
_cell_angle_beta 90.00
_cell_angle_gamma 90.00
loop_
_atom_site_label
_atom_site_fract_x
_atom_site_fract_y
_atom_site_fract_z
La1 0.000 0.000 0.000
Mg1 0.000 0.500 0.500
Cd1 0.500 0.500 0.000
Cu1 0.500 0.500 0.500
# Calculated formation energy ... -0.072 eV per atom



# LaNb2CdCu | the Alexandria database | PBE-GGA | relaxed
data_LaNb2CdCu
_space_group_name_H-M_alt 'P 4/m m m'
_space_group_IT_number 123
_space_group_name_Hall '-P 4 2'
_cell_length_a 4.832
_cell_length_b 4.832
_cell_length_c 5.350
_cell_angle_alpha 90.00
_cell_angle_beta 90.00
_cell_angle_gamma 90.00
loop_
_atom_site_label
_atom_site_fract_x
_atom_site_fract_y
_atom_site_fract_z
La1 0.000 0.000 0.000
Nb1 0.000 0.500 0.500
Cd1 0.500 0.500 0.000
Cu1 0.000 0.000 0.500
# Calculated formation energy ... 0.837 eV per atom



# LaNdCdCu | the Alexandria database | PBE-GGA | relaxed
data_LaNdCdCu
_space_group_name_H-M_alt 'F -4 3 m'
_space_group_IT_number 216
_space_group_name_Hall 'F -4 2 3'
_cell_length_a 7.564
_cell_length_b 7.564
_cell_length_c 7.564
_cell_angle_alpha 90.00
_cell_angle_beta 90.00
_cell_angle_gamma 90.00
loop_
_atom_site_label
_atom_site_fract_x
_atom_site_fract_y
_atom_site_fract_z
La1 0.000 0.000 0.000
Nd1 0.000 0.000 0.500
Cd1 0.250 0.250 0.250
Cu1 0.250 0.250 0.750
# Calculated formation energy ... -0.180 eV per atom



# LaCdCuNi | the Alexandria database | PBE-GGA | relaxed
data_LaCdCuNi
_space_group_name_H-M_alt 'F -4 3 m'
_space_group_IT_number 216
_space_group_name_Hall 'F -4 2 3'
_cell_length_a 6.830
_cell_length_b 6.830
_cell_length_c 6.830
_cell_angle_alpha 90.00
_cell_angle_beta 90.00
_cell_angle_gamma 90.00
loop_
_atom_site_label
_atom_site_fract_x
_atom_site_fract_y
_atom_site_fract_z
La1 0.000 0.000 0.000
Cd1 0.000 0.000 0.500
Cu1 0.250 0.250 0.750
Ni1 0.250 0.250 0.250
# Calculated formation energy ... -0.139 eV per atom



# La2CdCu12Ni3 | the Alexandria database | PBE-GGA | relaxed
data_La2CdCu12Ni3
_space_group_name_H-M_alt 'R -3 m'
_space_group_IT_number 166
_space_group_name_Hall '-R 3 2"'
_cell_length_a 8.6063
_cell_length_b 8.6063
_cell_length_c 12.5395
_cell_angle_alpha 90.00
_cell_angle_beta 90.00
_cell_angle_gamma 120.00
loop_
_atom_site_label
_atom_site_fract_x
_atom_site_fract_y
_atom_site_fract_z
La1 0.0000 0.0000 0.2471
Cd1 0.0000 0.0000 0.5000
Cu1 0.0049 0.5024 0.2066
Cu2 0.0506 0.5253 0.6031
Ni1 0.0000 0.5000 0.0000
# Calculated formation energy ... 0.093 eV per atom



# LaCd2CuO4 | the Alexandria database | PBE-GGA | relaxed
data_LaCd2CuO4
_space_group_name_H-M_alt 'C m c m'
_space_group_IT_number 63
_space_group_name_Hall '-C 2c 2'
_cell_length_a 3.433
_cell_length_b 11.365
_cell_length_c 11.442
_cell_angle_alpha 90.00
_cell_angle_beta 90.00
_cell_angle_gamma 90.00
loop_
_atom_site_label
_atom_site_fract_x
_atom_site_fract_y
_atom_site_fract_z
La1 0.000 0.121 0.250
Cd1 0.000 0.372 0.049
Cu1 0.000 0.137 0.750
O1 0.000 0.000 0.000
O2 0.000 0.278 0.627
O3 0.000 0.463 0.250
# E_form (uncorrected) ... -1520 meV per atom



# LaCd2CuP | the Alexandria database | PBE-GGA | relaxed
data_LaCd2CuP
_space_group_name_H-M_alt 'P 4/m m m'
_space_group_IT_number 123
_space_group_name_Hall '-P 4 2'
_cell_length_a 6.433
_cell_length_b 6.433
_cell_length_c 5.212
_cell_angle_alpha 90.00
_cell_angle_beta 90.00
_cell_angle_gamma 90.00
loop_
_atom_site_label
_atom_site_fract_x
_atom_site_fract_y
_atom_site_fract_z
La1 0.000 0.000 0.000
Cd1 0.000 0.500 0.000
Cu1 0.500 0.500 0.500
P1 0.000 0.000 0.500
# Calculated formation energy ... 0.890 eV per atom



# LaPmCdCu | the Alexandria database | PBE-GGA | relaxed
data_LaPmCdCu
_space_group_name_H-M_alt 'F -4 3 m'
_space_group_IT_number 216
_space_group_name_Hall 'F -4 2 3'
_cell_length_a 7.538
_cell_length_b 7.538
_cell_length_c 7.538
_cell_angle_alpha 90.00
_cell_angle_beta 90.00
_cell_angle_gamma 90.00
loop_
_atom_site_label
_atom_site_fract_x
_atom_site_fract_y
_atom_site_fract_z
La1 0.000 0.000 0.000
Pm1 0.000 0.000 0.500
Cd1 0.250 0.250 0.750
Cu1 0.250 0.250 0.250
# Calculated formation energy ... -0.183 eV per atom



# La2CdCuRe | the Alexandria database | PBE-GGA | relaxed
data_La2CdCuRe
_space_group_name_H-M_alt 'P 4/m m m'
_space_group_IT_number 123
_space_group_name_Hall '-P 4 2'
_cell_length_a 5.392
_cell_length_b 5.392
_cell_length_c 4.707
_cell_angle_alpha 90.00
_cell_angle_beta 90.00
_cell_angle_gamma 90.00
loop_
_atom_site_label
_atom_site_fract_x
_atom_site_fract_y
_atom_site_fract_z
La1 0.000 0.500 0.000
Cd1 0.000 0.000 0.500
Cu1 0.000 0.000 0.000
Re1 0.500 0.500 0.500
# Calculated formation energy ... 0.798 eV per atom



# LaScCdCu | the Alexandria database | PBE-GGA | relaxed
data_LaScCdCu
_space_group_name_H-M_alt 'F -4 3 m'
_space_group_IT_number 216
_space_group_name_Hall 'F -4 2 3'
_cell_length_a 7.274
_cell_length_b 7.274
_cell_length_c 7.274
_cell_angle_alpha 90.00
_cell_angle_beta 90.00
_cell_angle_gamma 90.00
loop_
_atom_site_label
_atom_site_fract_x
_atom_site_fract_y
_atom_site_fract_z
La1 0.000 0.000 0.000
Sc1 0.000 0.000 0.500
Cd1 0.250 0.250 0.750
Cu1 0.250 0.250 0.250
# Calculated formation energy ... -0.144 eV per atom



# La2CdCu4Sn3 | the Alexandria database | PBE-GGA | relaxed
data_La2CdCu4Sn3
_space_group_name_H-M_alt 'P -4 m 2'
_space_group_IT_number 115
_cell_length_a 4.493
_cell_length_b 4.493
_cell_length_c 10.752
_cell_angle_alpha 90.00
_cell_angle_beta 90.00
_cell_angle_gamma 90.00
loop_
_space_group_symop_operation_xyz
'x,y,z'
'y,-x,-z'
'-x,-y,z'
'-y,x,-z'
'-x,y,z'
'-y,-x,-z'
'x,-y,z'
'y,x,-z'
loop_
_atom_site_label
_atom_site_fract_x
_atom_site_fract_y
_atom_site_fract_z
La1 0.000 0.500 0.236
Cd1 0.000 0.000 0.500
Cu1 0.000 0.000 0.000
Cu2 0.000 0.500 0.635
Cu3 0.500 0.500 0.000
Sn1 0.000 0.500 0.872
Sn2 0.500 0.500 0.500
# Calculated formation energy ... -0.427 eV per atom